K3ScTe | PBE | relaxed

Computed properties:
Its space-group type is Pm-3m, No. 221. Its relative energy among the computed polymorphs is 0.536 eV/atom. For the formation energy from raw total energies, the calculation gives 14.0 kcal/mol of atoms.

a b c (Å): 6.583 6.583 6.583
angles (deg): 90.00 90.00 90.00
Fractional positions:
K1 0.000 0.500 0.000
Te1 0.500 0.500 0.500
Sc1 0.000 0.000 0.000
K2 0.000 0.000 0.500
K3 0.500 0.000 0.000